(1)
Density functional theory data (GGA-PBE) for a relaxed structure of BaCeTl5.

Lattice parameters (Å, degrees): 5.514 5.514 7.821 90.00 90.00 90.00
Fractional positions:
Ba1 0.000 0.000 0.000
Ce1 0.500 0.500 0.500
Tl1 0.000 0.500 0.284
Tl2 0.000 0.500 0.716
Tl3 0.500 0.000 0.284
Tl4 0.500 0.000 0.716
Tl5 0.500 0.500 0.000

Values from the calculation:
The value obtained for the total DFT energy (no corrections) is -20.47 eV per formula unit. The formation energy comes out at -0.111 eV/atom. Its crystal system is tetragonal.

***

(2)
Density functional theory data (GGA-PBE) for a relaxed structure of BaCeTm2.

Lattice parameters (Å, degrees): 12.733 12.733 12.733 16.02 16.02 16.02
Fractional positions:
Ba1 0.000 0.000 0.000
Ce1 0.500 0.500 0.500
Tm1 0.095 0.095 0.095
Tm2 0.905 0.905 0.905

Values from the calculation:
The value obtained for the total DFT energy (no corrections) is -15.74 eV per formula unit. The formation energy comes out at 0.266 eV/atom. Its crystal system is trigonal.

***

(3)
Density functional theory data (GGA-PBE) for a relaxed structure of BaCeZn2.

Lattice parameters (Å, degrees): 5.476 5.476 5.476 60.00 60.00 60.00
Fractional positions:
Ba1 0.000 0.000 0.000
Ce1 0.500 0.500 0.500
Zn1 0.250 0.250 0.250
Zn2 0.750 0.750 0.750

Values from the calculation:
The value obtained for the total DFT energy (no corrections) is -10.50 eV per formula unit. The formation energy comes out at -0.025 eV/atom. Its crystal system is cubic.

***

(4)
Density functional theory data (GGA-PBE) for a relaxed structure of Ba2CeZn.

Lattice parameters (Å, degrees): 12.658 12.658 12.658 17.65 17.65 17.65
Fractional positions:
Ba1 0.099 0.099 0.099
Ba2 0.901 0.901 0.901
Ce1 0.000 0.000 0.000
Zn1 0.500 0.500 0.500

Values from the calculation:
The value obtained for the total DFT energy (no corrections) is -9.55 eV per formula unit. The formation energy comes out at 0.375 eV/atom. Its crystal system is trigonal.

***

(5)
Density functional theory data (GGA-PBE) for a relaxed structure of BaCeZn.

Lattice parameters (Å, degrees): 11.703 11.703 3.995 90.00 90.00 156.64
Fractional positions:
Ba1 0.176 0.824 0.750
Ba2 0.824 0.176 0.250
Ce1 0.458 0.542 0.250
Ce2 0.542 0.458 0.750
Zn1 0.045 0.955 0.250
Zn2 0.955 0.045 0.750

Values from the calculation:
The value obtained for the total DFT energy (no corrections) is -9.10 eV per formula unit. The formation energy comes out at 0.010 eV/atom. Its crystal system is orthorhombic.

***

(6)
Density functional theory data (GGA-PBE) for a relaxed structure of BaCeZn.

Lattice parameters (Å, degrees): 7.378 7.378 7.378 149.60 149.60 43.53
Fractional positions:
Ba1 0.000 0.000 0.000
Ce1 0.269 0.269 0.000
Zn1 0.662 0.662 0.000

Values from the calculation:
The value obtained for the total DFT energy (no corrections) is -8.99 eV per formula unit. The formation energy comes out at 0.047 eV/atom. Its crystal system is tetragonal.

***

(7)
Density functional theory data (GGA-PBE) for a relaxed structure of BaCeZn2.

Lattice parameters (Å, degrees): 3.835 3.835 7.784 90.00 90.00 90.00
Fractional positions:
Ba1 0.000 0.000 0.000
Ce1 0.000 0.000 0.500
Zn1 0.500 0.500 0.297
Zn2 0.500 0.500 0.703

Values from the calculation:
The value obtained for the total DFT energy (no corrections) is -10.97 eV per formula unit. The formation energy comes out at -0.142 eV/atom. Its crystal system is tetragonal.

***

(8)
Density functional theory data (GGA-PBE) for a relaxed structure of BaCeZn2.

Lattice parameters (Å, degrees): 9.756 9.756 9.756 22.95 22.95 22.95
Fractional positions:
Ba1 0.000 0.000 0.000
Ce1 0.500 0.500 0.500
Zn1 0.242 0.242 0.242
Zn2 0.758 0.758 0.758

Values from the calculation:
The value obtained for the total DFT energy (no corrections) is -9.97 eV per formula unit. The formation energy comes out at 0.108 eV/atom. Its crystal system is trigonal.

***

(9)
Density functional theory data (GGA-PBE) for a relaxed structure of BaCeZn4.

Lattice parameters (Å, degrees): 5.732 5.732 5.732 60.00 60.00 60.00
Fractional positions:
Ba1 0.000 0.000 0.000
Ce1 0.750 0.750 0.750
Zn1 0.377 0.377 0.377
Zn2 0.377 0.377 0.870
Zn3 0.377 0.870 0.377
Zn4 0.870 0.377 0.377

Values from the calculation:
The value obtained for the total DFT energy (no corrections) is -13.57 eV per formula unit. The formation energy comes out at -0.102 eV/atom. Its crystal system is cubic.

***

(10)
Density functional theory data (GGA-PBE) for a relaxed structure of Ba2Cl.

Lattice parameters (Å, degrees): 6.881 6.881 6.881 106.32 106.32 115.97
Fractional positions:
Ba1 0.172 0.672 0.843
Ba2 0.328 0.172 0.500
Ba3 0.672 0.828 0.500
Ba4 0.828 0.328 0.157
Cl1 0.250 0.250 0.000
Cl2 0.750 0.750 0.000

Values from the calculation:
The value obtained for the total DFT energy (no corrections) is -8.86 eV per formula unit. Its formation energy without anion corrections is -1.056 eV/atom. Its crystal system is tetragonal.

***

(11)
Density functional theory data (GGA-PBE) for a relaxed structure of Ba4Cl5.

Lattice parameters (Å, degrees): 8.978 8.978 8.835 90.00 90.00 120.00
Fractional positions:
Ba1 0.000 0.000 0.000
Ba2 0.000 0.000 0.500
Ba3 0.000 0.409 0.250
Ba4 0.000 0.591 0.750
Ba5 0.409 0.000 0.250
Ba6 0.409 0.409 0.750
Ba7 0.591 0.000 0.750
Ba8 0.591 0.591 0.250
Cl1 0.000 0.248 0.750
Cl2 0.000 0.752 0.250
Cl3 0.248 0.000 0.750
Cl4 0.248 0.248 0.250
Cl5 0.333 0.667 0.000
Cl6 0.333 0.667 0.500
Cl7 0.667 0.333 0.000
Cl8 0.667 0.333 0.500
Cl9 0.752 0.000 0.250
Cl10 0.752 0.752 0.750

Values from the calculation:
The value obtained for the total DFT energy (no corrections) is -33.70 eV per formula unit. Its formation energy without anion corrections is -1.864 eV/atom. Its crystal system is hexagonal.

***

(12)
Density functional theory data (GGA-PBE) for a relaxed structure of Ba2Cl.

Lattice parameters (Å, degrees): 7.245 7.245 6.578 90.00 90.00 120.00
Fractional positions:
Ba1 0.000 0.000 0.000
Ba2 0.000 0.000 0.500
Ba3 0.333 0.667 0.250
Ba4 0.667 0.333 0.750
Cl1 0.333 0.667 0.750
Cl2 0.667 0.333 0.250

Values from the calculation:
The value obtained for the total DFT energy (no corrections) is -7.55 eV per formula unit. Its formation energy without anion corrections is -0.619 eV/atom. Its crystal system is hexagonal.

***

(13)
Density functional theory data (GGA-PBE) for a relaxed structure of BaCl3.

Lattice parameters (Å, degrees): 9.882 9.882 4.956 90.00 90.00 148.21
Fractional positions:
Ba1 0.155 0.845 0.750
Ba2 0.845 0.155 0.250
Cl1 0.176 0.329 0.750
Cl2 0.265 0.735 0.250
Cl3 0.329 0.176 0.250
Cl4 0.671 0.824 0.750
Cl5 0.735 0.265 0.750
Cl6 0.824 0.671 0.250

Values from the calculation:
The value obtained for the total DFT energy (no corrections) is -14.72 eV per formula unit. Its formation energy without anion corrections is -1.813 eV/atom. Its crystal system is orthorhombic.

***

(14)
Density functional theory data (GGA-PBE) for a relaxed structure of BaCl3.

Lattice parameters (Å, degrees): 8.084 8.893 7.569 90.00 90.00 90.00
Fractional positions:
Ba1 0.171 0.250 0.037
Ba2 0.329 0.750 0.537
Ba3 0.671 0.250 0.463
Ba4 0.829 0.750 0.963
Cl1 0.032 0.250 0.656
Cl2 0.112 0.549 0.792
Cl3 0.112 0.951 0.792
Cl4 0.388 0.049 0.292
Cl5 0.388 0.451 0.292
Cl6 0.468 0.750 0.156
Cl7 0.532 0.250 0.844
Cl8 0.612 0.549 0.708
Cl9 0.612 0.951 0.708
Cl10 0.888 0.049 0.208
Cl11 0.888 0.451 0.208
Cl12 0.968 0.750 0.344

Values from the calculation:
The value obtained for the total DFT energy (no corrections) is -14.28 eV per formula unit. Its formation energy without anion corrections is -1.705 eV/atom. Its crystal system is orthorhombic.

***

(15)
Density functional theory data (GGA-PBE) for a relaxed structure of Ba2Cl.

Lattice parameters (Å, degrees): 7.693 7.693 9.282 90.35 90.35 32.68
Fractional positions:
Ba1 0.000 0.000 0.000
Ba2 0.000 0.000 0.500
Ba3 0.269 0.269 0.770
Ba4 0.731 0.731 0.230
Cl1 0.347 0.347 0.442
Cl2 0.653 0.653 0.558

Values from the calculation:
The value obtained for the total DFT energy (no corrections) is -9.02 eV per formula unit. Its formation energy without anion corrections is -1.109 eV/atom. Its crystal system is monoclinic.

***

(16)
Density functional theory data (GGA-PBE) for a relaxed structure of Ba4Cl.

Lattice parameters (Å, degrees): 6.832 6.832 6.832 109.47 109.47 109.47
Fractional positions:
Ba1 0.000 0.000 0.500
Ba2 0.000 0.500 0.000
Ba3 0.500 0.000 0.000
Ba4 0.500 0.500 0.500
Cl1 0.000 0.000 0.000

Values from the calculation:
The value obtained for the total DFT energy (no corrections) is -11.52 eV per formula unit. Its formation energy without anion corrections is -0.397 eV/atom. Its crystal system is cubic.

***

(17)
Density functional theory data (GGA-PBE) for a relaxed structure of Ba2Cl.

Lattice parameters (Å, degrees): 9.309 8.792 4.394 82.61 69.48 27.91
Fractional positions:
Ba1 0.141 0.141 0.859
Ba2 0.859 0.859 0.141
Cl1 0.500 0.500 0.500

Values from the calculation:
The value obtained for the total DFT energy (no corrections) is -8.92 eV per formula unit. Its formation energy without anion corrections is -1.077 eV/atom. Its crystal system is orthorhombic.

***

(18)
Density functional theory data (GGA-PBE) for a relaxed structure of BaCl5.

Lattice parameters (Å, degrees): 5.116 10.506 10.506 23.37 90.00 90.00
Fractional positions:
Ba1 0.000 0.000 0.000
Cl1 0.000 0.391 0.391
Cl2 0.000 0.609 0.609
Cl3 0.500 0.233 0.233
Cl4 0.500 0.500 0.500
Cl5 0.500 0.768 0.768

Values from the calculation:
The value obtained for the total DFT energy (no corrections) is -17.16 eV per formula unit. Its formation energy without anion corrections is -1.001 eV/atom. Its crystal system is orthorhombic.

***

(19)
Density functional theory data (GGA-PBE) for a relaxed structure of Ba8Cl.

Lattice parameters (Å, degrees): 10.896 10.896 10.896 92.52 92.52 155.78
Fractional positions:
Ba1 0.000 0.341 0.341
Ba2 0.000 0.659 0.659
Ba3 0.341 0.000 0.341
Ba4 0.350 0.350 0.699
Ba5 0.350 0.650 0.000
Ba6 0.650 0.350 0.000
Ba7 0.650 0.650 0.301
Ba8 0.659 0.000 0.659
Cl1 0.000 0.000 0.000

Values from the calculation:
The value obtained for the total DFT energy (no corrections) is -19.36 eV per formula unit. Its formation energy without anion corrections is -0.237 eV/atom. Its crystal system is tetragonal.

***

(20)
Density functional theory data (GGA-PBE) for a relaxed structure of BaCl2.

Lattice parameters (Å, degrees): 9.467 9.467 4.742 90.00 90.00 152.03
Fractional positions:
Ba1 0.140 0.860 0.750
Ba2 0.860 0.140 0.250
Cl1 0.248 0.752 0.250
Cl2 0.415 0.585 0.750
Cl3 0.585 0.415 0.250
Cl4 0.752 0.248 0.750

Values from the calculation:
The value obtained for the total DFT energy (no corrections) is -12.74 eV per formula unit. Its formation energy without anion corrections is -2.376 eV/atom. Its crystal system is orthorhombic.

***

(21)
Density functional theory data (GGA-PBE) for a relaxed structure of BaCl2.

Lattice parameters (Å, degrees): 5.242 5.242 5.242 60.00 60.00 60.00
Fractional positions:
Ba1 0.000 0.000 0.000
Cl1 0.250 0.250 0.250
Cl2 0.750 0.750 0.750

Values from the calculation:
The value obtained for the total DFT energy (no corrections) is -13.29 eV per formula unit. Its formation energy without anion corrections is -2.558 eV/atom. Its crystal system is cubic.

***

(22)
Density functional theory data (GGA-PBE) for a relaxed structure of Ba4Cl.

Lattice parameters (Å, degrees): 6.468 6.468 6.468 90.00 90.00 90.00
Fractional positions:
Ba1 0.000 0.000 0.000
Ba2 0.000 0.500 0.500
Ba3 0.500 0.000 0.500
Ba4 0.500 0.500 0.000
Cl1 0.500 0.500 0.500

Values from the calculation:
The value obtained for the total DFT energy (no corrections) is -12.86 eV per formula unit. Its formation energy without anion corrections is -0.664 eV/atom. Its crystal system is cubic.

***

(23)
Density functional theory data (GGA-PBE) for a relaxed structure of BaCl5.

Lattice parameters (Å, degrees): 6.806 6.806 4.377 90.00 90.00 122.06
Fractional positions:
Ba1 0.000 0.000 0.000
Cl1 0.173 0.827 0.500
Cl2 0.367 0.633 0.000
Cl3 0.500 0.500 0.500
Cl4 0.633 0.367 0.000
Cl5 0.827 0.173 0.500

Values from the calculation:
The value obtained for the total DFT energy (no corrections) is -16.27 eV per formula unit. Its formation energy without anion corrections is -0.853 eV/atom. Its crystal system is orthorhombic.

***

(24)
Density functional theory data (GGA-PBE) for a relaxed structure of BaCl2.

Lattice parameters (Å, degrees): 8.394 8.394 5.503 90.00 90.00 140.31
Fractional positions:
Ba1 0.141 0.859 0.750
Ba2 0.859 0.141 0.250
Cl1 0.058 0.942 0.250
Cl2 0.285 0.715 0.250
Cl3 0.715 0.285 0.750
Cl4 0.942 0.058 0.750

Values from the calculation:
The value obtained for the total DFT energy (no corrections) is -12.97 eV per formula unit. Its formation energy without anion corrections is -2.451 eV/atom. Its crystal system is orthorhombic.

***

(25)
Density functional theory data (GGA-PBE) for a relaxed structure of BaCl2.

Lattice parameters (Å, degrees): 14.503 14.503 14.503 164.30 164.30 22.27
Fractional positions:
Ba1 0.375 0.625 0.750
Ba2 0.625 0.375 0.250
Cl1 0.068 0.818 0.250
Cl2 0.182 0.932 0.250
Cl3 0.818 0.068 0.750
Cl4 0.932 0.182 0.750

Values from the calculation:
The value obtained for the total DFT energy (no corrections) is -12.50 eV per formula unit. Its formation energy without anion corrections is -2.293 eV/atom. Its crystal system is tetragonal.

***

(26)
Density functional theory data (GGA-PBE) for a relaxed structure of Ba2Cl.

Lattice parameters (Å, degrees): 7.741 7.741 7.741 60.00 60.00 60.00
Fractional positions:
Ba1 0.000 0.000 0.000
Ba2 0.000 0.000 0.500
Ba3 0.000 0.500 0.000
Ba4 0.500 0.000 0.000
Cl1 0.375 0.375 0.375
Cl2 0.625 0.625 0.625

Values from the calculation:
The value obtained for the total DFT energy (no corrections) is -6.51 eV per formula unit. Its formation energy without anion corrections is -0.272 eV/atom. Its crystal system is cubic.

***

(27)
Density functional theory data (GGA-PBE) for a relaxed structure of BaCl2.

Lattice parameters (Å, degrees): 5.727 5.727 5.727 137.11 137.11 62.27
Fractional positions:
Ba1 0.000 0.000 0.000
Cl1 0.342 0.342 0.000
Cl2 0.658 0.658 0.000

Values from the calculation:
The value obtained for the total DFT energy (no corrections) is -12.63 eV per formula unit. Its formation energy without anion corrections is -2.338 eV/atom. Its crystal system is tetragonal.